A relaxed Pm10ErTm4 crystal. Source: the Alexandria database, functional PBE.

Properties
E	-3.973	eV/atom
energy of formation	690.6	meV/atom

Cell lengths 9.4824, 9.4824, 9.4824 Å; angles 99.57, 99.57, 131.87 degrees
Fractional positions:
1 Pm 0.0496 0.3499 0.8993
2 Pm 0.1503 0.0496 0.6997
3 Pm 0.2500 0.7500 0.5000
4 Pm 0.3499 0.4506 0.3003
5 Pm 0.4506 0.1503 0.1007
6 Pm 0.5494 0.8497 0.8993
7 Pm 0.6501 0.5494 0.6997
8 Pm 0.7500 0.2500 0.5000
9 Pm 0.8497 0.9504 0.3003
10 Pm 0.9504 0.6501 0.1007
11 Er 0.0000 0.0000 0.0000
12 Tm 0.2002 0.3999 0.6001
13 Tm 0.3999 0.7998 0.1997
14 Tm 0.6001 0.2002 0.8003
15 Tm 0.7998 0.6001 0.3999

***

A relaxed PmEr3Tm5 crystal. Source: the Alexandria database, functional PBE.

Properties
E	-4.100	eV/atom
energy relative to the lowest polymorph listed for this composition	0.302	eV/atom
energy of formation	432.6	meV/atom

Cell lengths 9.2202, 9.2202, 12.0594 Å; angles 125.96, 125.96, 50.57 degrees
Fractional positions:
1 Pm 0.2360 0.2360 0.1310
2 Pm 0.7640 0.7640 0.8690
3 Er 0.0000 0.0000 0.0000
4 Er 0.1700 0.1700 0.3393
5 Er 0.3790 0.3790 0.6842
6 Er 0.5000 0.5000 0.5000
7 Er 0.6210 0.6210 0.3158
8 Er 0.8300 0.8300 0.6607
9 Tm 0.1217 0.1217 0.5654
10 Tm 0.1415 0.7286 0.2191
11 Tm 0.2714 0.8585 0.7809
12 Tm 0.2987 0.2987 0.9279
13 Tm 0.3222 0.6778 0.0000
14 Tm 0.6778 0.3222 0.0000
15 Tm 0.7013 0.7013 0.0721
16 Tm 0.7286 0.1415 0.2191
17 Tm 0.8585 0.2714 0.7809
18 Tm 0.8783 0.8783 0.4346

***

A relaxed PmEr2Tm12 crystal. Source: the Alexandria database, functional PBE.

Properties
E	-4.172	eV/atom
energy of formation	330.0	meV/atom

Cell lengths 6.3108, 6.3108, 24.7329 Å; angles 90.00, 90.00, 90.00 degrees
Fractional positions:
1 Pm 0.2500 0.7500 0.0000
2 Pm 0.7500 0.2500 0.0000
3 Er 0.2500 0.7500 0.2765
4 Er 0.2500 0.7500 0.7235
5 Er 0.7500 0.2500 0.2765
6 Er 0.7500 0.2500 0.7235
7 Tm 0.0668 0.5668 0.1188
8 Tm 0.0668 0.9332 0.8812
9 Tm 0.0807 0.5807 0.4397
10 Tm 0.0807 0.9193 0.5603
11 Tm 0.2500 0.2500 0.2170
12 Tm 0.2500 0.2500 0.3413
13 Tm 0.2500 0.2500 0.6587
14 Tm 0.2500 0.2500 0.7830
15 Tm 0.4193 0.5807 0.5603
16 Tm 0.4193 0.9193 0.4397
17 Tm 0.4332 0.5668 0.8812
18 Tm 0.4332 0.9332 0.1188
19 Tm 0.5668 0.0668 0.8812
20 Tm 0.5668 0.4332 0.1188
21 Tm 0.5807 0.0807 0.5603
22 Tm 0.5807 0.4193 0.4397
23 Tm 0.7500 0.7500 0.2170
24 Tm 0.7500 0.7500 0.3413
25 Tm 0.7500 0.7500 0.6587
26 Tm 0.7500 0.7500 0.7830
27 Tm 0.9193 0.0807 0.4397
28 Tm 0.9193 0.4193 0.5603
29 Tm 0.9332 0.0668 0.1188
30 Tm 0.9332 0.4332 0.8812

***

A relaxed PmEr15Tm4 crystal. Source: the Alexandria database, functional PBE.

Properties
E	-4.530	eV/atom
energy of formation	23.8	meV/atom

Cell lengths 4.9602, 4.9602, 24.8118 Å; angles 90.00, 90.00, 90.00 degrees
Fractional positions:
1 Pm 0.0000 0.0000 0.0000
2 Er 0.0000 0.5000 0.1018
3 Er 0.0000 0.5000 0.3009
4 Er 0.0000 0.5000 0.5000
5 Er 0.0000 0.5000 0.6991
6 Er 0.0000 0.5000 0.8982
7 Er 0.5000 0.0000 0.1018
8 Er 0.5000 0.0000 0.3009
9 Er 0.5000 0.0000 0.5000
10 Er 0.5000 0.0000 0.6991
11 Er 0.5000 0.0000 0.8982
12 Er 0.5000 0.5000 0.0000
13 Er 0.5000 0.5000 0.2017
14 Er 0.5000 0.5000 0.4004
15 Er 0.5000 0.5000 0.5996
16 Er 0.5000 0.5000 0.7983
17 Tm 0.0000 0.0000 0.2012
18 Tm 0.0000 0.0000 0.4005
19 Tm 0.0000 0.0000 0.5995
20 Tm 0.0000 0.0000 0.7988

***

A relaxed Pm5Er2Tm5 crystal. Source: the Alexandria database, functional PBE.

Properties
E	-4.581	eV/atom
energy of formation	21.7	meV/atom

Cell lengths 7.9472, 7.9472, 11.2797 Å; angles 115.09, 115.09, 36.82 degrees
Fractional positions:
1 Pm 0.0000 0.0000 0.0000
2 Pm 0.0843 0.0843 0.7507
3 Pm 0.1657 0.1657 0.4992
4 Pm 0.8343 0.8343 0.5008
5 Pm 0.9157 0.9157 0.2493
6 Er 0.4167 0.4167 0.7515
7 Er 0.5833 0.5833 0.2485
8 Tm 0.2486 0.2486 0.2475
9 Tm 0.3320 0.3320 0.9987
10 Tm 0.5000 0.5000 0.5000
11 Tm 0.6680 0.6680 0.0013
12 Tm 0.7514 0.7514 0.7525

***

A relaxed Pm2Er12Tm5 crystal. Source: the Alexandria database, functional PBE.

Properties
E	-4.425	eV/atom
energy relative to the lowest polymorph listed for this composition	0.067	eV/atom
energy of formation	133.8	meV/atom

Cell lengths 9.0576, 9.0576, 8.4113 Å; angles 90.80, 90.80, 60.54 degrees
Fractional positions:
1 Pm 0.1849 0.8151 0.0000
2 Pm 0.8151 0.1849 0.0000
3 Er 0.0571 0.0571 0.3285
4 Er 0.0657 0.6815 0.3484
5 Er 0.1608 0.5237 0.7545
6 Er 0.3185 0.9343 0.6516
7 Er 0.4050 0.4050 0.1166
8 Er 0.4763 0.8392 0.2455
9 Er 0.5237 0.1608 0.7545
10 Er 0.5950 0.5950 0.8834
11 Er 0.6815 0.0657 0.3484
12 Er 0.8392 0.4763 0.2455
13 Er 0.9343 0.3185 0.6516
14 Er 0.9429 0.9429 0.6715
15 Tm 0.1966 0.1966 0.0075
16 Tm 0.2669 0.2669 0.4226
17 Tm 0.5000 0.5000 0.5000
18 Tm 0.7331 0.7331 0.5774
19 Tm 0.8034 0.8034 0.9925

***

A relaxed Pm3ErTm6 crystal. Source: the Alexandria database, functional PBE.

Properties
E	-4.413	eV/atom
energy relative to the lowest polymorph listed for this composition	0.000	eV/atom
energy of formation	151.6	meV/atom

Cell lengths 10.9037, 10.9037, 6.1876 Å; angles 90.00, 90.00, 119.63 degrees
Fractional positions:
1 Pm 0.1083 0.8917 0.5000
2 Pm 0.2184 0.4384 0.8954
3 Pm 0.4384 0.2184 0.3954
4 Pm 0.5616 0.7816 0.8954
5 Pm 0.7816 0.5616 0.3954
6 Pm 0.8917 0.1083 0.0000
7 Er 0.2937 0.7063 0.5785
8 Er 0.7063 0.2937 0.0785
9 Tm 0.0383 0.4599 0.3021
10 Tm 0.1161 0.2122 0.4716
11 Tm 0.2122 0.1161 0.9716
12 Tm 0.2191 0.7809 0.0749
13 Tm 0.4536 0.5464 0.3480
14 Tm 0.4599 0.0383 0.8021
15 Tm 0.5401 0.9617 0.3021
16 Tm 0.5464 0.4536 0.8480
17 Tm 0.7809 0.2191 0.5749
18 Tm 0.7878 0.8839 0.4716
19 Tm 0.8839 0.7878 0.9716
20 Tm 0.9617 0.5401 0.8021

***

A relaxed Pm4ErTm15 crystal. Source: the Alexandria database, functional PBE.

Properties
E	-4.506	eV/atom
energy of formation	26.2	meV/atom

Cell lengths 4.9823, 4.9823, 24.8378 Å; angles 90.00, 90.00, 90.00 degrees
Fractional positions:
1 Pm 0.0000 0.0000 0.1004
2 Pm 0.0000 0.0000 0.3004
3 Pm 0.0000 0.0000 0.6996
4 Pm 0.0000 0.0000 0.8996
5 Er 0.0000 0.0000 0.5000
6 Tm 0.0000 0.5000 0.0000
7 Tm 0.0000 0.5000 0.2006
8 Tm 0.0000 0.5000 0.4014
9 Tm 0.0000 0.5000 0.5986
10 Tm 0.0000 0.5000 0.7994
11 Tm 0.5000 0.0000 0.0000
12 Tm 0.5000 0.0000 0.2006
13 Tm 0.5000 0.0000 0.4014
14 Tm 0.5000 0.0000 0.5986
15 Tm 0.5000 0.0000 0.7994
16 Tm 0.5000 0.5000 0.1002
17 Tm 0.5000 0.5000 0.3011
18 Tm 0.5000 0.5000 0.5000
19 Tm 0.5000 0.5000 0.6989
20 Tm 0.5000 0.5000 0.8998

***

A relaxed Pm5ErTm12 crystal. Source: the Alexandria database, functional PBE.

Properties
E	-4.532	eV/atom
energy of formation	22.2	meV/atom

Cell lengths 10.5871, 10.5871, 6.1190 Å; angles 106.60, 106.60, 59.93 degrees
Fractional positions:
1 Pm 0.0000 0.0000 0.0000
2 Pm 0.1667 0.1667 0.5007
3 Pm 0.3341 0.3341 0.0012
4 Pm 0.6659 0.6659 0.9988
5 Pm 0.8333 0.8333 0.4993
6 Er 0.5000 0.5000 0.5000
7 Tm 0.0015 0.6651 0.9994
8 Tm 0.1666 0.5016 0.5010
9 Tm 0.1691 0.8309 0.5000
10 Tm 0.3331 0.6669 0.0000
11 Tm 0.3349 0.9985 0.0006
12 Tm 0.4984 0.8334 0.4990
13 Tm 0.5016 0.1666 0.5010
14 Tm 0.6651 0.0015 0.9994
15 Tm 0.6669 0.3331 0.0000
16 Tm 0.8309 0.1691 0.5000
17 Tm 0.8334 0.4984 0.4990
18 Tm 0.9985 0.3349 0.0006

***

A relaxed Pm3Er3Tm2 crystal. Source: the Alexandria database, functional PBE.

Properties
E	-4.523	eV/atom
energy relative to the lowest polymorph listed for this composition	0.063	eV/atom
energy of formation	87.0	meV/atom

Cell lengths 16.2049, 5.6702, 5.9696 Å; angles 90.00, 110.26, 90.00 degrees
Fractional positions:
1 Pm 0.0000 0.0000 0.0000
2 Pm 0.1350 0.0000 0.6987
3 Pm 0.3650 0.5000 0.3013
4 Pm 0.5000 0.5000 0.0000
5 Pm 0.6350 0.5000 0.6987
6 Pm 0.8650 0.0000 0.3013
7 Er 0.0000 0.5000 0.5000
8 Er 0.1330 0.5000 0.0812
9 Er 0.3670 0.0000 0.9188
10 Er 0.5000 0.0000 0.5000
11 Er 0.6330 0.0000 0.0812
12 Er 0.8670 0.5000 0.9188
13 Tm 0.2497 0.0000 0.3178
14 Tm 0.2503 0.5000 0.6822
15 Tm 0.7503 0.0000 0.6822
16 Tm 0.7497 0.5000 0.3178

***

A relaxed PmEr2Tm6 crystal. Source: the Alexandria database, functional PBE.

Properties
E	-4.423	eV/atom
energy relative to the lowest polymorph listed for this composition	0.004	eV/atom
energy of formation	100.1	meV/atom

Cell lengths 9.4178, 9.4178, 6.4732 Å; angles 98.76, 98.76, 95.56 degrees
Fractional positions:
1 Pm 0.1218 0.8782 0.7500
2 Pm 0.8782 0.1218 0.2500
3 Er 0.3355 0.3844 0.6313
4 Er 0.3844 0.3355 0.1313
5 Er 0.6156 0.6645 0.8687
6 Er 0.6645 0.6156 0.3687
7 Tm 0.0495 0.2214 0.8194
8 Tm 0.0602 0.4622 0.2694
9 Tm 0.2214 0.0495 0.3194
10 Tm 0.2794 0.6495 0.9994
11 Tm 0.3505 0.7206 0.5006
12 Tm 0.4622 0.0602 0.7694
13 Tm 0.5378 0.9398 0.2306
14 Tm 0.6495 0.2794 0.4994
15 Tm 0.7206 0.3505 0.0006
16 Tm 0.7786 0.9505 0.6806
17 Tm 0.9398 0.5378 0.7306
18 Tm 0.9505 0.7786 0.1806

***

A relaxed Pm3ErTm4 crystal. Source: the Alexandria database, functional PBE.

Properties
E	-4.565	eV/atom
energy relative to the lowest polymorph listed for this composition	0.007	eV/atom
energy of formation	23.0	meV/atom

Cell lengths 6.1529, 3.5560, 11.7120 Å; angles 90.00, 100.12, 90.00 degrees
Fractional positions:
1 Pm 0.0000 0.0000 0.0000
2 Pm 0.0000 0.5000 0.5000
3 Pm 0.5000 0.0000 0.5000
4 Er 0.5000 0.5000 0.0000
5 Tm 0.2494 0.5000 0.2480
6 Tm 0.2513 0.0000 0.7521
7 Tm 0.7487 0.0000 0.2479
8 Tm 0.7506 0.5000 0.7520

***

A relaxed PmEr3Tm2 crystal. Source: the Alexandria database, functional PBE.

Properties
E	-4.440	eV/atom
energy relative to the lowest polymorph listed for this composition	0.126	eV/atom
energy of formation	123.4	meV/atom

Cell lengths 11.5326, 11.5326, 10.1269 Å; angles 108.23, 108.23, 17.36 degrees
Fractional positions:
1 Pm 0.1841 0.1841 0.0408
2 Pm 0.8159 0.8159 0.9592
3 Er 0.0594 0.0594 0.4419
4 Er 0.1956 0.1956 0.7149
5 Er 0.4321 0.4321 0.2365
6 Er 0.5679 0.5679 0.7635
7 Er 0.8044 0.8044 0.2851
8 Er 0.9406 0.9406 0.5581
9 Tm 0.1931 0.1931 0.3743
10 Tm 0.4311 0.4311 0.8589
11 Tm 0.5689 0.5689 0.1411
12 Tm 0.8069 0.8069 0.6257

***

A relaxed PmEr4Tm6 crystal. Source: the Alexandria database, functional PBE.

Properties
E	-4.407	eV/atom
energy relative to the lowest polymorph listed for this composition	0.000	eV/atom
energy of formation	122.8	meV/atom

Cell lengths 5.5557, 5.5557, 25.3945 Å; angles 90.00, 90.00, 119.88 degrees
Fractional positions:
1 Pm 0.1679 0.8321 0.7500
2 Pm 0.8321 0.1679 0.2500
3 Er 0.1661 0.8339 0.0414
4 Er 0.1661 0.8339 0.4586
5 Er 0.4980 0.5020 0.1213
6 Er 0.4980 0.5020 0.3787
7 Er 0.5020 0.4980 0.6213
8 Er 0.5020 0.4980 0.8787
9 Er 0.8339 0.1661 0.5414
10 Er 0.8339 0.1661 0.9586
11 Tm 0.1651 0.8349 0.1806
12 Tm 0.1651 0.8349 0.3194
13 Tm 0.1683 0.8317 0.6016
14 Tm 0.1683 0.8317 0.8984
15 Tm 0.4987 0.5013 0.2500
16 Tm 0.5000 0.5000 0.0000
17 Tm 0.5000 0.5000 0.5000
18 Tm 0.5013 0.4987 0.7500
19 Tm 0.8317 0.1683 0.1016
20 Tm 0.8317 0.1683 0.3984
21 Tm 0.8349 0.1651 0.6806
22 Tm 0.8349 0.1651 0.8194

***

A relaxed Pm12Er6Tm crystal. Source: the Alexandria database, functional PBE.

Properties
E	-4.540	eV/atom
energy relative to the lowest polymorph listed for this composition	0.120	eV/atom
energy of formation	137.0	meV/atom

Cell lengths 8.6164, 8.6164, 8.6164 Å; angles 88.89, 88.89, 88.89 degrees
Fractional positions:
1 Pm 0.0170 0.3622 0.1944
2 Pm 0.1944 0.0170 0.3622
3 Pm 0.2193 0.5665 0.4627
4 Pm 0.3622 0.1944 0.0170
5 Pm 0.4335 0.5373 0.7807
6 Pm 0.4627 0.2193 0.5665
7 Pm 0.5373 0.7807 0.4335
8 Pm 0.5665 0.4627 0.2193
9 Pm 0.6378 0.8056 0.9830
10 Pm 0.7807 0.4335 0.5373
11 Pm 0.8056 0.9830 0.6378
12 Pm 0.9830 0.6378 0.8056
13 Er 0.0989 0.2590 0.7028
14 Er 0.2590 0.7028 0.0989
15 Er 0.2972 0.9011 0.7410
16 Er 0.7028 0.0989 0.2590
17 Er 0.7410 0.2972 0.9011
18 Er 0.9011 0.7410 0.2972
19 Tm 0.0000 0.0000 0.0000

***

A relaxed Pm2Er3Tm5 crystal. Source: the Alexandria database, functional PBE.

Properties
E	-4.356	eV/atom
energy relative to the lowest polymorph listed for this composition	0.000	eV/atom
energy of formation	199.0	meV/atom

Cell lengths 9.4320, 9.4320, 9.3557 Å; angles 108.13, 108.13, 112.24 degrees
Fractional positions:
1 Pm 0.0146 0.2700 0.0466
2 Pm 0.2700 0.0146 0.5466
3 Pm 0.7300 0.9854 0.4534
4 Pm 0.9854 0.7300 0.9534
5 Er 0.0220 0.9780 0.7500
6 Er 0.2211 0.4647 0.4489
7 Er 0.4647 0.2211 0.9489
8 Er 0.5353 0.7789 0.0511
9 Er 0.7789 0.5353 0.5511
10 Er 0.9780 0.0220 0.2500
11 Tm 0.1474 0.3865 0.7774
12 Tm 0.2315 0.7685 0.7500
13 Tm 0.2733 0.7267 0.2500
14 Tm 0.3865 0.1474 0.2774
15 Tm 0.4734 0.5266 0.2500
16 Tm 0.5266 0.4734 0.7500
17 Tm 0.6135 0.8526 0.7226
18 Tm 0.7267 0.2733 0.7500
19 Tm 0.7685 0.2315 0.2500
20 Tm 0.8526 0.6135 0.2226

***

A relaxed Pm7Er2Tm crystal. Source: the Alexandria database, functional PBE.

Properties
E	-4.034	eV/atom
energy of formation	651.1	meV/atom

Cell lengths 9.4014, 9.4014, 5.5676 Å; angles 90.00, 90.00, 124.31 degrees
Fractional positions:
1 Pm 0.0000 0.0000 0.0000
2 Pm 0.2097 0.4333 0.0000
3 Pm 0.2876 0.7124 0.5000
4 Pm 0.4333 0.2097 0.0000
5 Pm 0.5667 0.7903 0.0000
6 Pm 0.7124 0.2876 0.5000
7 Pm 0.7903 0.5667 0.0000
8 Er 0.2053 0.7947 0.0000
9 Er 0.7947 0.2053 0.0000
10 Tm 0.5000 0.5000 0.5000